## one
A relaxed VGe3N crystal, computed with PBE.

a = 4.747 Å, b = 4.747 Å, c = 4.747 Å
α = 90.00°, β = 90.00°, γ = 90.00°
Positions (direct):
V1 0.000 0.000 0.000
Ge1 0.000 0.000 0.500
Ge2 0.000 0.500 0.000
N1 0.500 0.500 0.500
Ge3 0.500 0.000 0.000

Calculated values
Crystal system: cubic
Space group: Pm-3m
V: 107 Å³ per cell

## two
A relaxed VGe3N crystal, computed with PBE.

a = 4.271 Å, b = 4.271 Å, c = 4.271 Å
α = 90.00°, β = 90.00°, γ = 90.00°
Positions (direct):
Ge1 0.000 0.000 0.500
N1 0.000 0.000 0.000
V1 0.500 0.500 0.500
Ge2 0.500 0.000 0.000
Ge3 0.000 0.500 0.000

Calculated values
Crystal system: cubic
Space group: Pm-3m
V: 78 Å³ per cell

Quick one: most stable of them? two

## one
A relaxed V4Ge2N crystal, computed with PBE.

a = 2.996 Å, b = 6.587 Å, c = 9.139 Å
α = 90.00°, β = 90.00°, γ = 90.00°
Positions (direct):
V1 0.000 0.862 0.306
Ge1 0.500 0.937 0.863
Ge2 0.500 0.437 0.637
V2 0.500 0.676 0.077
Ge3 0.500 0.563 0.363
Ge4 0.500 0.063 0.137
V3 0.500 0.324 0.923
N1 0.000 0.500 0.000
V4 0.500 0.176 0.423
V5 0.000 0.138 0.694
V6 0.500 0.824 0.577
V7 0.000 0.362 0.194
V8 0.000 0.638 0.806
N2 0.000 0.000 0.500

Calculated values
Crystal system: orthorhombic
Space group: Pbam
V: 180 Å³ per cell

## two
A relaxed V4Ge2N crystal, computed with PBE.

a = 3.850 Å, b = 3.850 Å, c = 7.006 Å
α = 74.05°, β = 74.05°, γ = 90.00°
Positions (direct):
V1 0.842 0.842 0.317
Ge1 0.646 0.646 0.707
Ge2 0.354 0.354 0.293
V2 0.000 0.500 0.000
V3 0.158 0.158 0.683
V4 0.500 0.000 0.000
N1 0.000 0.000 0.000

Calculated values
Crystal system: tetragonal
Space group: I4/mmm
V: 96 Å³ per cell

Quick one: most stable of them? one

## one
A relaxed GeW2N crystal, computed with PBE.

a = 4.212 Å, b = 4.212 Å, c = 4.212 Å
α = 60.00°, β = 60.00°, γ = 60.00°
Positions (direct):
Ge1 0.500 0.500 0.500
W1 0.750 0.750 0.750
N1 0.000 0.000 0.000
W2 0.250 0.250 0.250

Calculated values
Crystal system: cubic
Space group: Fm-3m
V: 53 Å³ per cell

## two
A relaxed GeW2N crystal, computed with PBE.

a = 4.857 Å, b = 4.857 Å, c = 6.721 Å
α = 68.82°, β = 68.82°, γ = 90.00°
Positions (direct):
W1 0.235 0.625 0.250
W2 0.515 0.125 0.250
W3 0.875 0.765 0.750
Ge1 0.750 0.250 0.500
W4 0.375 0.485 0.750
N1 0.250 0.750 0.500
Ge2 0.000 0.000 0.000
N2 0.500 0.500 0.000

Calculated values
Crystal system: tetragonal
Space group: I-42d
V: 136 Å³ per cell

Quick one: most stable of them? two

## one
A relaxed Y4Ge2N crystal, computed with PBE.

a = 3.893 Å, b = 8.184 Å, c = 7.004 Å
α = 132.05°, β = 106.14°, γ = 90.00°
Positions (direct):
N1 0.000 0.000 0.000
Y1 0.081 0.815 0.162
Y2 0.919 0.185 0.838
Y3 0.656 0.236 0.312
Y4 0.344 0.764 0.688
Ge1 0.381 0.435 0.762
Ge2 0.619 0.565 0.238

Calculated values
Crystal system: monoclinic
Space group: C2/m
V: 154 Å³ per cell

## two
A relaxed Y4Ge2N crystal, computed with PBE.

a = 4.603 Å, b = 4.603 Å, c = 8.314 Å
α = 73.93°, β = 73.93°, γ = 90.00°
Positions (direct):
Y1 0.500 0.000 0.000
N1 0.000 0.000 0.000
Y2 0.831 0.831 0.338
Ge1 0.638 0.638 0.724
Y3 0.169 0.169 0.662
Y4 0.000 0.500 0.000
Ge2 0.362 0.362 0.276

Calculated values
Crystal system: tetragonal
Space group: I4/mmm
V: 162 Å³ per cell

Quick one: most stable of them? two

## one
A relaxed ZnGe2N crystal, computed with PBE.

a = 5.328 Å, b = 5.328 Å, c = 6.174 Å
α = 64.44°, β = 64.44°, γ = 90.00°
Positions (direct):
Zn1 0.750 0.250 0.500
N1 0.250 0.750 0.500
Zn2 0.000 0.000 0.000
N2 0.500 0.500 0.000
Ge1 0.375 0.441 0.750
Ge2 0.191 0.625 0.250
Ge3 0.559 0.125 0.250
Ge4 0.875 0.809 0.750

Calculated values
Crystal system: tetragonal
Space group: I-42d
V: 139 Å³ per cell

## two
A relaxed ZnGe2N crystal, computed with PBE.

a = 4.401 Å, b = 4.401 Å, c = 4.401 Å
α = 60.00°, β = 60.00°, γ = 60.00°
Positions (direct):
Ge1 0.750 0.750 0.750
Ge2 0.250 0.250 0.250
Zn1 0.500 0.500 0.500
N1 0.000 0.000 0.000

Calculated values
Crystal system: cubic
Space group: Fm-3m
V: 60 Å³ per cell

Quick one: most stable of them? one

## one
A relaxed ZnGe3N crystal, computed with PBE.

a = 4.396 Å, b = 4.396 Å, c = 4.396 Å
α = 90.00°, β = 90.00°, γ = 90.00°
Positions (direct):
N1 0.000 0.000 0.000
Zn1 0.500 0.500 0.500
Ge1 0.500 0.000 0.000
Ge2 0.000 0.500 0.000
Ge3 0.000 0.000 0.500

Calculated values
Crystal system: cubic
Space group: Pm-3m
V: 85 Å³ per cell

## two
A relaxed ZnGe3N crystal, computed with PBE.

a = 4.714 Å, b = 4.714 Å, c = 4.714 Å
α = 90.00°, β = 90.00°, γ = 90.00°
Positions (direct):
Zn1 0.000 0.000 0.000
N1 0.500 0.500 0.500
Ge1 0.000 0.500 0.000
Ge2 0.500 0.000 0.000
Ge3 0.000 0.000 0.500

Calculated values
Crystal system: cubic
Space group: Pm-3m
V: 105 Å³ per cell

Quick one: most stable of them? one

## one
A relaxed ZrGeN crystal, computed with PBE.

a = 4.989 Å, b = 3.375 Å, c = 3.375 Å
α = 120.08°, β = 90.03°, γ = 89.98°
Positions (direct):
N1 0.797 0.505 0.333
Ge1 0.173 0.505 0.332
Zr1 0.593 0.838 0.000

Calculated values
Crystal system: trigonal
Space group: P3m1
V: 49 Å³ per cell

## two
A relaxed ZrGeN crystal, computed with PBE.

a = 5.251 Å, b = 3.417 Å, c = 5.251 Å
α = 71.01°, β = 37.97°, γ = 90.00°
Positions (direct):
Zr1 0.249 0.912 0.160
Ge1 0.719 0.441 0.101
N1 0.849 0.312 0.360

Calculated values
Crystal system: trigonal
Space group: R3m
V: 49 Å³ per cell

## three
A relaxed ZrGeN crystal, computed with PBE.

a = 3.849 Å, b = 3.849 Å, c = 13.826 Å
α = 90.00°, β = 90.00°, γ = 90.00°
Positions (direct):
Zr1 0.752 0.750 0.819
N1 0.748 0.250 0.250
Zr2 0.248 0.250 0.181
Ge1 0.750 0.250 0.500
Zr3 0.748 0.750 0.319
N2 0.752 0.250 0.750
N3 0.248 0.750 0.250
Ge2 0.250 0.750 0.500
Zr4 0.252 0.250 0.681
Ge3 0.750 0.250 0.000
N4 0.252 0.750 0.750
Ge4 0.250 0.750 0.000

Calculated values
Crystal system: orthorhombic
Space group: Pnma
V: 205 Å³ per cell

## four
A relaxed ZrGeN crystal, computed with PBE.

a = 3.483 Å, b = 3.480 Å, c = 5.776 Å
α = 72.88°, β = 90.38°, γ = 59.76°
Positions (direct):
N1 0.055 0.233 0.269
Ge1 0.571 0.210 0.810
Zr1 0.753 0.842 0.358

Calculated values
Crystal system: triclinic
Space group: P1
V: 57 Å³ per cell

Quick one: most stable of them? three

## one
A relaxed ZrGe3N crystal, computed with PBE.

a = 4.329 Å, b = 4.329 Å, c = 4.329 Å
α = 90.00°, β = 90.00°, γ = 90.00°
Positions (direct):
Zr1 0.500 0.500 0.500
Ge1 0.000 0.000 0.500
Ge2 0.500 0.000 0.000
N1 0.000 0.000 0.000
Ge3 0.000 0.500 0.000

Calculated values
Crystal system: cubic
Space group: Pm-3m
V: 81 Å³ per cell

## two
A relaxed ZrGe3N crystal, computed with PBE.

a = 5.228 Å, b = 5.228 Å, c = 5.228 Å
α = 90.00°, β = 90.00°, γ = 90.00°
Positions (direct):
Zr1 0.000 0.000 0.000
Ge1 0.000 0.000 0.500
Ge2 0.000 0.500 0.000
N1 0.500 0.500 0.500
Ge3 0.500 0.000 0.000

Calculated values
Crystal system: cubic
Space group: Pm-3m
V: 143 Å³ per cell

Quick one: most stable of them? one

## one
A relaxed Na2Ge crystal, computed with PBE.

a = 3.749 Å, b = 3.749 Å, c = 5.831 Å
α = 108.75°, β = 108.75°, γ = 90.00°
Positions (direct):
Na1 0.655 0.655 0.309
Na2 0.345 0.345 0.691
Ge1 0.000 0.000 0.000

Calculated values
Crystal system: tetragonal
Space group: I4/mmm
V: 73 Å³ per cell

## two
A relaxed Na2Ge crystal, computed with PBE.

a = 5.856 Å, b = 6.009 Å, c = 6.009 Å
α = 76.26°, β = 60.84°, γ = 60.84°
Positions (direct):
Na1 0.676 0.149 0.500
Ge1 0.250 0.000 0.000
Na2 0.824 0.500 0.851
Na3 0.324 0.851 0.500
Ge2 0.750 0.000 0.000
Na4 0.176 0.500 0.149

Calculated values
Crystal system: tetragonal
Space group: I4/mcm
V: 161 Å³ per cell

## three
A relaxed Na2Ge crystal, computed with PBE.

a = 3.896 Å, b = 5.818 Å, c = 8.537 Å
α = 65.75°, β = 76.81°, γ = 70.44°
Positions (direct):
Na1 0.168 0.291 0.373
Na2 0.517 0.163 0.804
Ge1 0.796 0.349 0.059
Na3 0.483 0.837 0.196
Na4 0.832 0.709 0.627
Ge2 0.204 0.651 0.941

Calculated values
Crystal system: monoclinic
Space group: C2/m
V: 165 Å³ per cell

Quick one: most stable of them? three

## one
A relaxed NaNbGeO5 crystal, computed with PBE.

a = 9.014 Å, b = 6.943 Å, c = 7.698 Å
α = 64.17°, β = 90.00°, γ = 90.00°
Positions (direct):
O1 0.683 0.047 0.414
O2 0.317 0.953 0.586
O3 0.454 0.358 0.376
O4 0.817 0.047 0.914
O5 0.190 0.562 0.406
Nb1 0.739 0.741 0.478
O6 0.046 0.358 0.876
O7 0.452 0.155 0.112
Nb2 0.261 0.259 0.522
O8 0.822 0.747 0.748
Ge1 0.064 0.754 0.248
Na1 0.419 0.759 0.204
O9 0.952 0.845 0.388
O10 0.322 0.253 0.752
Ge2 0.564 0.246 0.252
Nb3 0.761 0.741 0.978
Na2 0.081 0.759 0.704
O11 0.178 0.253 0.252
O12 0.690 0.438 0.094
O13 0.546 0.642 0.624
O14 0.678 0.747 0.248
O15 0.954 0.642 0.124
O16 0.183 0.953 0.086
O17 0.548 0.845 0.888
Ge3 0.936 0.246 0.752
O18 0.048 0.155 0.612
Na3 0.581 0.241 0.796
O19 0.310 0.562 0.906
Na4 0.919 0.241 0.296
Ge4 0.436 0.754 0.748
O20 0.810 0.438 0.594
Nb4 0.239 0.259 0.022

Calculated values
Crystal system: monoclinic
Space group: P2_1/c
V: 434 Å³ per cell

## two
A relaxed NaNbGeO5 crystal, computed with PBE.

a = 5.721 Å, b = 5.721 Å, c = 7.551 Å
α = 105.20°, β = 105.20°, γ = 104.31°
Positions (direct):
O1 0.064 0.936 0.250
O2 0.754 0.638 0.406
Nb1 0.000 0.000 0.000
O3 0.362 0.246 0.094
O4 0.638 0.754 0.906
O5 0.300 0.883 0.608
O6 0.117 0.700 0.892
O7 0.700 0.117 0.392
Ge1 0.319 0.681 0.750
Ge2 0.681 0.319 0.250
O8 0.883 0.300 0.108
O9 0.936 0.064 0.750
O10 0.246 0.362 0.594
Nb2 0.000 0.000 0.500
Na1 0.325 0.675 0.250
Na2 0.675 0.325 0.750

Calculated values
Crystal system: monoclinic
Space group: C2/c
V: 216 Å³ per cell

Quick one: most stable of them? one

## one
A relaxed NaNi3Ge crystal, computed with PBE.

a = 4.311 Å, b = 4.311 Å, c = 4.311 Å
α = 90.00°, β = 90.00°, γ = 90.00°
Positions (direct):
Na1 0.000 0.000 0.000
Ge1 0.500 0.500 0.500
Ni1 0.000 0.500 0.000
Ni2 0.000 0.000 0.500
Ni3 0.500 0.000 0.000

Calculated values
Crystal system: cubic
Space group: Pm-3m
V: 80 Å³ per cell

## two
A relaxed NaNi3Ge crystal, computed with PBE.

a = 4.440 Å, b = 4.440 Å, c = 4.440 Å
α = 90.00°, β = 90.00°, γ = 90.00°
Positions (direct):
Na1 0.500 0.500 0.500
Ni1 0.000 0.000 0.500
Ge1 0.000 0.000 0.000
Ni2 0.000 0.500 0.000
Ni3 0.500 0.000 0.000

Calculated values
Crystal system: cubic
Space group: Pm-3m
V: 88 Å³ per cell

Quick one: most stable of them? two